{
  "formula": "Ba3AgW",
  "functional": "SCAN",
  "state": "PBEsol geometry",
  "cell": [[5.864, 0.000, 0.000], [0.000, 5.864, 0.000], [0.000, 0.000, 5.864]],
  "species": ["Ba", "Ba", "Ba", "Ag", "W"],
  "fractional_positions": [[0.000, 0.000, 0.500], [0.000, 0.500, 0.000], [0.500, 0.000, 0.000], [0.500, 0.500, 0.500], [0.000, 0.000, 0.000]],
  "crystal_system": "cubic",
  "spacegroup": "Pm-3m (221)",
  "magnetic_moment_mub_per_cell": 0.0,
  "e_form_ev_per_atom": 0.9540,
  "volume_a3_per_atom": 40.32,
  "n_ef_per_ev_atom": 0.884
}

=====

{
  "formula": "Cu3Pt",
  "functional": "SCAN",
  "state": "PBEsol geometry",
  "cell": [[2.704, 0.000, 0.000], [0.000, 8.421, 0.000], [0.000, 0.000, 4.355]],
  "species": ["Cu", "Cu", "Cu", "Cu", "Cu", "Cu", "Pt", "Pt"],
  "fractional_positions": [[0.000, 0.000, 0.000], [0.000, 0.254, 0.638], [0.000, 0.746, 0.638], [0.500, 0.246, 0.138], [0.500, 0.500, 0.500], [0.500, 0.754, 0.138], [0.000, 0.500, 0.002], [0.500, 0.000, 0.502]],
  "crystal_system": "orthorhombic",
  "spacegroup": "Imm2 (44)",
  "magnetic_moment_mub_per_cell": 0.0,
  "e_form_ev_per_atom": -0.1185,
  "volume_a3_per_atom": 12.39,
  "n_ef_per_ev_atom": 0.381
}

=====

{
  "formula": "Sc2TcC2",
  "functional": "SCAN",
  "state": "PBEsol geometry",
  "cell": [[3.718, 0.000, 0.000], [0.000, 3.718, 0.000], [0.000, 0.000, 8.982]],
  "species": ["Sc", "Sc", "Sc", "Sc", "Tc", "Tc", "C", "C", "C", "C"],
  "fractional_positions": [[0.000, 0.500, 0.250], [0.000, 0.500, 0.750], [0.500, 0.000, 0.250], [0.500, 0.000, 0.750], [0.000, 0.000, 0.000], [0.500, 0.500, 0.500], [0.000, 0.000, 0.424], [0.000, 0.000, 0.576], [0.500, 0.500, 0.076], [0.500, 0.500, 0.924]],
  "crystal_system": "tetragonal",
  "polymorph_energy_mev_per_atom": 953,
  "spacegroup": "I4/mmm (139)",
  "magnetic_moment_mub_per_cell": 0.0,
  "e_form_ev_per_atom": 0.5033,
  "volume_a3_per_atom": 12.42,
  "n_ef_per_ev_atom": 0.480
}

=====

{
  "formula": "BeCuRu2",
  "functional": "SCAN",
  "state": "PBEsol geometry",
  "cell": [[2.851, 0.000, 0.000], [0.000, 4.037, 0.000], [0.000, 0.000, 7.949]],
  "species": ["Be", "Be", "Cu", "Cu", "Ru", "Ru", "Ru", "Ru"],
  "fractional_positions": [[0.000, 0.000, 0.000], [0.500, 0.500, 0.500], [0.000, 0.500, 0.717], [0.500, 0.000, 0.217], [0.000, 0.000, 0.490], [0.000, 0.500, 0.260], [0.500, 0.000, 0.760], [0.500, 0.500, 0.990]],
  "crystal_system": "orthorhombic",
  "spacegroup": "Imm2 (44)",
  "magnetic_moment_mub_per_cell": 0.0,
  "e_form_ev_per_atom": -0.0312,
  "volume_a3_per_atom": 11.44,
  "n_ef_per_ev_atom": 0.593
}

=====

{
  "formula": "Re2RuRh",
  "functional": "SCAN",
  "state": "PBEsol geometry",
  "cell": [[2.705, 0.000, 0.000], [0.000, 2.705, 0.000], [0.000, 0.000, 7.677]],
  "species": ["Re", "Re", "Ru", "Rh"],
  "fractional_positions": [[0.000, 0.000, 0.000], [0.500, 0.500, 0.268], [0.500, 0.500, 0.768], [0.000, 0.000, 0.506]],
  "crystal_system": "tetragonal",
  "polymorph_energy_mev_per_atom": 155,
  "spacegroup": "P4mm (99)",
  "magnetic_moment_mub_per_cell": 0.0,
  "e_form_ev_per_atom": -0.0163,
  "volume_a3_per_atom": 14.05,
  "n_ef_per_ev_atom": 0.791
}

=====

{
  "formula": "Ta2CrRh",
  "functional": "SCAN",
  "state": "PBEsol geometry",
  "cell": [[3.743, 0.000, 0.000], [0.000, 3.743, 0.000], [0.000, 0.000, 8.726]],
  "species": ["Ta", "Ta", "Ta", "Ta", "Cr", "Cr", "Rh", "Rh"],
  "fractional_positions": [[0.000, 0.000, 0.000], [0.000, 0.500, 0.250], [0.500, 0.000, 0.750], [0.500, 0.500, 0.500], [0.000, 0.000, 0.500], [0.500, 0.500, 0.000], [0.000, 0.500, 0.750], [0.500, 0.000, 0.250]],
  "crystal_system": "tetragonal",
  "spacegroup": "I-4m2 (119)",
  "magnetic_moment_mub_per_cell": 3.8,
  "e_form_ev_per_atom": -0.1216,
  "volume_a3_per_atom": 15.28,
  "n_ef_per_ev_atom": 0.768
}

=====

{
  "formula": "BeRe2Pb",
  "functional": "SCAN",
  "state": "PBEsol geometry",
  "cell": [[3.821, 0.000, 0.000], [0.000, 3.821, 0.000], [0.000, 0.000, 8.503]],
  "species": ["Be", "Be", "Re", "Re", "Re", "Re", "Pb", "Pb"],
  "fractional_positions": [[0.000, 0.000, 0.000], [0.500, 0.500, 0.500], [0.000, 0.500, 0.250], [0.000, 0.500, 0.750], [0.500, 0.000, 0.250], [0.500, 0.000, 0.750], [0.000, 0.000, 0.500], [0.500, 0.500, 0.000]],
  "crystal_system": "tetragonal",
  "polymorph_energy_mev_per_atom": 261,
  "spacegroup": "I4/mmm (139)",
  "magnetic_moment_mub_per_cell": 0.0,
  "e_form_ev_per_atom": 1.0414,
  "volume_a3_per_atom": 15.52,
  "n_ef_per_ev_atom": 0.800
}

=====

{
  "formula": "NiHgPS2",
  "functional": "SCAN",
  "state": "PBEsol geometry",
  "cell": [[4.914, 0.000, 0.000], [0.000, 4.914, 0.000], [0.000, 0.000, 4.832]],
  "species": ["Ni", "Hg", "P", "S", "S"],
  "fractional_positions": [[0.000, 0.000, 0.000], [0.500, 0.500, 0.500], [0.500, 0.500, 0.000], [0.000, 0.500, 0.500], [0.500, 0.000, 0.500]],
  "crystal_system": "tetragonal",
  "e_form_raw_mev_per_atom": 1527.6,
  "spacegroup": "P4/mmm (123)",
  "magnetic_moment_mub_per_cell": 3.3,
  "volume_a3_per_atom": 23.33,
  "n_ef_per_ev_atom": 1.125
}

=====

{
  "formula": "CuTcTe2",
  "functional": "SCAN",
  "state": "PBEsol geometry",
  "cell": [[4.242, 0.000, 0.000], [0.000, 3.456, 0.000], [0.000, 0.000, 9.993]],
  "species": ["Cu", "Cu", "Tc", "Tc", "Te", "Te", "Te", "Te"],
  "fractional_positions": [[0.000, 0.000, 0.000], [0.000, 0.500, 0.500], [0.500, 0.000, 0.828], [0.500, 0.500, 0.328], [0.000, 0.000, 0.262], [0.000, 0.500, 0.762], [0.500, 0.000, 0.545], [0.500, 0.500, 0.045]],
  "crystal_system": "orthorhombic",
  "polymorph_energy_mev_per_atom": 0,
  "e_form_raw_mev_per_atom": 217.7,
  "spacegroup": "Amm2 (38)",
  "magnetic_moment_mub_per_cell": 0.0,
  "volume_a3_per_atom": 18.31,
  "n_ef_per_ev_atom": 0.765
}

=====

{
  "formula": "TaHg2Pt2",
  "functional": "SCAN",
  "state": "PBEsol geometry",
  "cell": [[3.689, 0.000, 0.000], [0.000, 3.689, 0.000], [0.000, 0.000, 13.899]],
  "species": ["Ta", "Ta", "Hg", "Hg", "Hg", "Hg", "Pt", "Pt", "Pt", "Pt"],
  "fractional_positions": [[0.000, 0.000, 0.000], [0.500, 0.500, 0.500], [0.000, 0.500, 0.250], [0.000, 0.500, 0.750], [0.500, 0.000, 0.250], [0.500, 0.000, 0.750], [0.000, 0.000, 0.409], [0.000, 0.000, 0.591], [0.500, 0.500, 0.091], [0.500, 0.500, 0.909]],
  "crystal_system": "tetragonal",
  "spacegroup": "I4/mmm (139)",
  "magnetic_moment_mub_per_cell": 0.0,
  "e_form_ev_per_atom": 0.2422,
  "volume_a3_per_atom": 18.92,
  "n_ef_per_ev_atom": 0.481
}

=====

{
  "formula": "MnZnSi2",
  "functional": "SCAN",
  "state": "PBEsol geometry",
  "cell": [[5.969, 0.000, 0.000], [0.000, 5.969, 0.000], [0.000, 0.000, 5.969]],
  "species": ["Mn", "Mn", "Mn", "Mn", "Zn", "Zn", "Zn", "Zn", "Si", "Si", "Si", "Si", "Si", "Si", "Si", "Si"],
  "fractional_positions": [[0.000, 0.000, 0.000], [0.000, 0.500, 0.500], [0.500, 0.000, 0.500], [0.500, 0.500, 0.000], [0.250, 0.250, 0.750], [0.250, 0.750, 0.250], [0.750, 0.250, 0.250], [0.750, 0.750, 0.750], [0.000, 0.000, 0.500], [0.000, 0.500, 0.000], [0.250, 0.250, 0.250], [0.250, 0.750, 0.750], [0.500, 0.000, 0.000], [0.500, 0.500, 0.500], [0.750, 0.250, 0.750], [0.750, 0.750, 0.250]],
  "crystal_system": "cubic",
  "e_form_raw_mev_per_atom": 360.3,
  "spacegroup": "F-43m (216)",
  "magnetic_moment_mub_per_cell": 12.7,
  "volume_a3_per_atom": 13.29,
  "n_ef_per_ev_atom": 0.396
}

=====

{
  "formula": "HfAg3As",
  "functional": "SCAN",
  "state": "PBEsol geometry",
  "cell": [[4.737, 0.000, 0.000], [0.000, 4.737, 0.000], [0.000, 0.000, 4.737]],
  "species": ["Hf", "Ag", "Ag", "Ag", "As"],
  "fractional_positions": [[0.000, 0.000, 0.000], [0.000, 0.500, 0.500], [0.500, 0.000, 0.500], [0.500, 0.500, 0.000], [0.500, 0.500, 0.500]],
  "crystal_system": "cubic",
  "spacegroup": "Pm-3m (221)",
  "magnetic_moment_mub_per_cell": 0.0,
  "e_form_ev_per_atom": 0.8205,
  "volume_a3_per_atom": 21.26,
  "n_ef_per_ev_atom": 0.980
}

=====

Number 1: energy -42.9872 eV/atom. Number 2: energy -29.0663 eV/atom. Number 3: energy -16.2434 eV/atom. Number 4: energy -22.3325 eV/atom. Number 5: energy -52.7145 eV/atom. Number 6: energy -46.4523 eV/atom. Number 7: energy -54.5410 eV/atom. Number 8: energy -21.2712 eV/atom. Number 9: energy -30.9727 eV/atom. Number 10: energy -68.4181 eV/atom. Number 11: energy -12.5902 eV/atom. Number 12: energy -34.5725 eV/atom.